Entry 1:
Material: NdHN
Method: DFT, GGA-PBE
State: relaxed

Calculated values
The volume is 52.4 Å³ per cell. The calculation puts the theoretical density at 5.05 g cm⁻³. Its electronic total energy is -6.05 eV/atom.

```
NdHN
1.0
2.504 -2.504 0.000
2.504 2.504 0.000
-0.008 0.000 4.176
Nd H N
1 1 1
Direct
0.000 0.000 0.000 Nd
0.500 0.500 0.675 H
0.500 0.500 0.927 N
```

Entry 2:
Material: Al7Zn2Ag2
Method: DFT, GGA-PBE
State: relaxed

Calculated values
The volume is 189.3 Å³ per cell. The calculation puts the formation energy from the elements at 0.0796 eV/atom. The calculation puts the theoretical density at 4.70 g cm⁻³. The calculation puts the energy above the most stable polymorph in this dataset at 0 meV per atom. Its electronic total energy is -3.05 eV/atom.

```
Al7Zn2Ag2
1.0
3.703 -4.221 0.000
3.703 4.221 0.000
-1.869 0.000 6.057
Al Zn Ag
7 2 2
Direct
0.000 0.000 0.000 Al
0.098 0.537 0.825 Al
0.398 0.398 0.168 Al
0.463 0.902 0.175 Al
0.537 0.098 0.825 Al
0.602 0.602 0.832 Al
0.902 0.463 0.175 Al
0.285 0.715 0.500 Zn
0.715 0.285 0.500 Zn
0.186 0.186 0.473 Ag
0.814 0.814 0.527 Ag
```